Y2TmVO6 | GGA+U | relaxed

Values from the calculation:
Uncorrected energy, eV per atom: -8.6102
ρ, g/cm³: 6.09
Space-group type: R3, No. 146

Cell: 5.629 5.629 5.885 Å, 61.43 61.43 60.00°
Last column: magnetic moment on the atom in μB.
Atoms (fractional coordinates):
O (0.682, 0.116, 0.768)  -0.01
Y (0.027, 0.027, 0.920)  0.00
O (0.197, 0.954, 0.255)  0.00
O (0.594, 0.197, 0.255)  0.00
O (0.954, 0.594, 0.255)  0.00
V (0.317, 0.317, 0.050)  1.90
O (0.434, 0.682, 0.768)  -0.01
O (0.116, 0.434, 0.768)  -0.01
Tm (0.810, 0.810, 0.571)  0.01
Y (0.532, 0.532, 0.405)  0.01